The following is a GGA-PBE calculation of a relaxed BeAl2B crystal, from Alexandria via LeMat-Bulk.

E_form (meV per atom): 179.3
Excess energy over the best structure of this formula in the dataset (kJ per mole of atoms): 7.8
SG: P1

Structure (POSCAR):
```
BeAl2B
1.0
9.917 0.006 0.002
0.632 3.521 -0.001
1.680 -0.233 5.628
Al B Be
8 4 4
direct
0.589 0.702 0.011
0.249 0.383 0.324
0.374 0.815 0.527
0.148 0.924 0.929
0.861 0.074 0.671
0.641 0.166 0.459
0.408 0.292 0.868
0.863 0.570 0.017
0.341 0.842 0.165
0.729 0.135 0.061
0.555 0.705 0.660
0.234 0.385 0.707
0.085 0.962 0.366
0.049 0.479 0.651
0.982 0.512 0.333
0.891 0.055 0.249
```